Record 1
The following is a DFT calculation (PBE-GGA) of Ce4PIrCl2 after structural relaxation.

## Properties
- Crystal system: monoclinic
- Uncorrected formation energy: -10.49 eV per formula unit

POSCAR file:
```
Ce4PIrCl2
1.0
7.1200 0.0000 0.0000
0.0000 4.0310 0.0000
-2.3264 0.0000 6.8902
Ce P Ir Cl
4 1 1 2
Cartesian
1.0504 0.0000 1.6377
-0.0769 2.0155 5.1292
4.8706 2.0155 1.7610
3.7432 0.0000 5.2526
-1.1632 0.0000 3.4451
0.0000 2.0155 0.0000
3.5600 0.0000 0.0000
2.3968 2.0155 3.4451
```

=====

Record 2
The following is a DFT calculation (PBE-GGA) of Tb2AlSb after structural relaxation.

## Properties
- Crystal system: trigonal
- Uncorrected formation energy: -0.44 eV per formula unit

POSCAR file:
```
Tb2AlSb
1.0
1.7686 1.0211 10.6252
-1.7686 1.0211 10.6252
0.0000 -2.0422 10.6252
Tb Al Sb
2 1 1
Cartesian
0.0000 0.0000 3.0743
0.0000 0.0000 28.8013
0.0000 0.0000 15.9378
0.0000 0.0000 0.0000
```

=====

Record 3
The following is a DFT calculation (PBE-GGA) of Er2Ga2CuPd5 after structural relaxation.

## Properties
- Energy: -5.18 eV per atom
- Crystal system: tetragonal

POSCAR file:
```
Er2Ga2CuPd5
1.0
9.8378 0.0000 0.0000
0.0000 9.8378 0.0000
0.0000 0.0000 3.6150
Er Ga Cu Pd
4 4 2 10
Cartesian
1.7186 3.2003 0.0000
3.2003 8.1192 0.0000
6.6375 1.7186 0.0000
8.1192 6.6375 0.0000
1.2326 6.1515 0.0000
3.6863 1.2326 0.0000
6.1515 8.6052 0.0000
8.6052 3.6863 0.0000
0.0000 0.0000 0.0000
4.9189 4.9189 0.0000
0.0000 4.9189 1.8075
0.5924 7.8810 1.8075
1.9568 0.5924 1.8075
2.9621 5.5113 1.8075
4.3265 2.9621 1.8075
4.9189 0.0000 1.8075
5.5113 6.8757 1.8075
6.8757 4.3265 1.8075
7.8810 9.2454 1.8075
9.2454 1.9568 1.8075
```

=====

Record 4
The following is a DFT calculation (PBE-GGA) of CaInTc3 after structural relaxation.

## Properties
- Energy: -5.36 eV per atom
- Crystal system: cubic

POSCAR file:
```
CaInTc3
1.0
5.0127 0.0000 0.0000
0.0000 5.0127 0.0000
0.0000 0.0000 5.0127
Ca In Tc
1 1 3
Cartesian
0.0000 0.0000 0.0000
2.5063 2.5063 2.5063
0.0000 2.5063 2.5063
2.5063 0.0000 2.5063
2.5063 2.5063 0.0000
```

=====

Record 5
The following is a DFT calculation (PBE-GGA) of PmMgZnPt2 after structural relaxation.

## Properties
- Energy: -4.81 eV per atom
- Crystal system: tetragonal

POSCAR file:
```
PmMgZnPt2
1.0
-1.9876 1.9876 6.2806
1.9876 -1.9876 6.2806
1.9876 1.9876 -6.2806
Pm Mg Zn Pt
1 1 1 2
Cartesian
0.0000 0.0000 0.0000
0.0000 1.9876 3.1403
1.9876 0.0000 3.1403
0.0000 0.0000 4.9139
0.0000 0.0000 7.6472
```

=====

Record 6
The following is a DFT calculation (PBE-GGA) of ScGa40Mo8 after structural relaxation.

## Properties
- Energy: -4.53 eV per atom
- Crystal system: trigonal

POSCAR file:
```
ScGa40Mo8
1.0
7.0515 4.0712 5.0910
-7.0515 4.0712 5.0910
0.0000 -8.1424 5.0910
Sc Ga Mo
1 40 8
Cartesian
0.0000 0.0000 0.0000
-3.5258 -2.0356 5.0910
-1.2399 -2.2762 3.3924
-4.8105 -3.9084 8.3523
-2.6726 -4.2318 6.6059
-0.3431 -4.5110 5.0251
-5.7900 2.2119 6.9208
-3.7351 2.5526 5.0251
-1.3513 2.2119 3.3924
-5.0012 0.1986 8.6672
-1.6874 0.1414 5.2587
-2.6944 -1.3229 7.7450
0.9795 -6.1203 6.9208
-4.0782 -1.9584 10.2480
0.7213 -1.5321 5.2587
-0.2016 -2.9949 7.5281
-2.4929 1.6720 7.5281
2.5912 0.0643 3.3924
-2.3286 4.4305 6.6059
0.9661 1.3907 5.2587
-3.5257 2.0356 10.1820
0.0000 4.0712 5.0910
0.0000 0.0000 7.6365
-0.9661 -1.3907 10.0144
2.3286 -4.4305 8.6672
-2.5912 -0.0643 11.8807
2.4928 -1.6720 7.7450
0.2016 2.9949 7.7450
-0.7213 1.5320 10.0144
4.0782 1.9584 5.0251
-0.9795 6.1203 8.3523
2.6944 1.3229 7.5281
1.6874 -0.1414 10.0144
5.0012 -0.1986 6.6059
1.3513 -2.2119 11.8807
3.7351 -2.5526 10.2479
5.7900 -2.2119 8.3523
0.3431 4.5110 10.2479
2.6726 4.2319 8.6672
4.8106 3.9084 6.9208
1.2399 2.2762 11.8807
-4.2177 0.1746 6.1751
0.0000 0.0000 3.1815
-2.2601 -3.5653 9.0979
1.9576 -3.7400 6.1751
-1.9576 3.7400 9.0979
2.2601 3.5653 6.1751
0.0000 0.0000 12.0916
4.2177 -0.1746 9.0979
```